1:
A plane-wave DFT calculation with GGA-PBE was carried out for a relaxed structure of Al3CdP.

Unit cell a=4.763 b=4.763 c=4.763 alpha=90.00 beta=90.00 gamma=90.00
Fractional positions:
Al (0.000, 0.000, 0.500)
Al (0.000, 0.500, 0.000)
Al (0.500, 0.000, 0.000)
Cd (0.500, 0.500, 0.500)
P (0.000, 0.000, 0.000)

DOS(E_F)	1.6	states/eV/f.u.

***

2:
A plane-wave DFT calculation with GGA-PBE was carried out for a relaxed structure of Al3CdP.

Unit cell a=4.952 b=4.952 c=4.952 alpha=90.00 beta=90.00 gamma=90.00
Fractional positions:
Al (0.000, 0.000, 0.500)
Al (0.000, 0.500, 0.000)
Al (0.500, 0.000, 0.000)
Cd (0.000, 0.000, 0.000)
P (0.500, 0.500, 0.500)

DOS(E_F)	2.9	states/eV/f.u.

***

1 (53.9 kJ/mol of atoms below the next structure)

***

1:
A plane-wave DFT calculation with GGA-PBE was carried out for a relaxed structure of AlCdPS2.

Unit cell a=4.620 b=4.620 c=4.787 alpha=90.00 beta=90.00 gamma=90.00
Fractional positions:
Al (0.000, 0.000, 0.000)
Cd (0.500, 0.500, 0.500)
P (0.000, 0.000, 0.500)
S (0.000, 0.500, 0.000)
S (0.500, 0.000, 0.000)

DOS(E_F)	4.2	states/eV/f.u.

***

2:
A plane-wave DFT calculation with GGA-PBE was carried out for a relaxed structure of AlCdPS2.

Unit cell a=5.035 b=5.035 c=5.020 alpha=90.00 beta=90.00 gamma=90.00
Fractional positions:
Al (0.000, 0.000, 0.000)
Cd (0.500, 0.500, 0.500)
P (0.500, 0.500, 0.000)
S (0.000, 0.500, 0.500)
S (0.500, 0.000, 0.500)

DOS(E_F)	5.5	states/eV/f.u.

***

1 (67.7 kJ/mol of atoms below the next structure)

***

1:
A plane-wave DFT calculation with GGA-PBE was carried out for a relaxed structure of PaAlCd.

Unit cell a=4.941 b=4.941 c=3.115 alpha=90.00 beta=90.00 gamma=120.00
Fractional positions:
Pa (0.000, 0.000, 0.000)
Al (0.667, 0.333, 0.500)
Cd (0.333, 0.667, 0.500)

DOS(E_F)	3.9	states/eV/f.u.

***

2:
A plane-wave DFT calculation with GGA-PBE was carried out for a relaxed structure of PaAlCd.

Unit cell a=7.445 b=7.445 c=7.445 alpha=156.77 beta=156.77 gamma=33.08
Fractional positions:
Pa (0.000, 0.000, 0.000)
Al (0.660, 0.660, 0.000)
Cd (0.315, 0.315, 0.000)

DOS(E_F)	3.5	states/eV/f.u.

***

3:
A plane-wave DFT calculation with GGA-PBE was carried out for a relaxed structure of PaAlCd.

Unit cell a=3.109 b=3.109 c=15.508 alpha=94.65 beta=94.65 gamma=60.48
Fractional positions:
Pa (0.224, 0.224, 0.095)
Pa (0.776, 0.776, 0.905)
Al (0.392, 0.392, 0.739)
Al (0.608, 0.608, 0.261)
Cd (0.317, 0.317, 0.416)
Cd (0.683, 0.683, 0.584)

DOS(E_F)	3.1	states/eV/f.u.

***

1 (4.1 kJ/mol of atoms below the next structure)

***

1:
A plane-wave DFT calculation with GGA-PBE was carried out for a relaxed structure of Al2CdPb.

Unit cell a=3.250 b=4.232 c=6.706 alpha=90.00 beta=90.00 gamma=90.00
Fractional positions:
Al (0.000, 0.000, 0.213)
Al (0.000, 0.000, 0.787)
Cd (0.500, 0.500, 0.000)
Pb (0.500, 0.500, 0.500)

DOS(E_F)	1.9	states/eV/f.u.

***

2:
A plane-wave DFT calculation with GGA-PBE was carried out for a relaxed structure of Al2CdPb.

Unit cell a=6.426 b=6.426 c=6.426 alpha=102.57 beta=102.57 gamma=124.37
Fractional positions:
Al (0.112, 0.625, 0.987)
Al (0.375, 0.362, 0.487)
Al (0.638, 0.125, 0.013)
Al (0.875, 0.888, 0.513)
Cd (0.000, 0.000, 0.000)
Cd (0.750, 0.250, 0.500)
Pb (0.250, 0.750, 0.500)
Pb (0.500, 0.500, 0.000)

DOS(E_F)	2.3	states/eV/f.u.

***

1 (9.3 kJ/mol of atoms below the next structure)

***

1:
A plane-wave DFT calculation with GGA-PBE was carried out for a relaxed structure of Al2CdPb.

Unit cell a=10.560 b=10.560 c=10.560 alpha=17.41 beta=17.41 gamma=17.41
Fractional positions:
Al (0.242, 0.242, 0.242)
Al (0.758, 0.758, 0.758)
Cd (0.500, 0.500, 0.500)
Pb (0.000, 0.000, 0.000)

DOS(E_F)	2.2	states/eV/f.u.

***

2:
A plane-wave DFT calculation with GGA-PBE was carried out for a relaxed structure of Al2CdPb.

Unit cell a=6.094 b=6.094 c=6.094 alpha=148.36 beta=128.06 gamma=62.10
Fractional positions:
Al (0.238, 0.238, 0.000)
Al (0.762, 0.762, 0.000)
Cd (0.000, 0.500, 0.500)
Pb (0.500, 0.000, 0.500)

DOS(E_F)	1.9	states/eV/f.u.

***

1 (4.6 kJ/mol of atoms below the next structure)

***

1:
A plane-wave DFT calculation with GGA-PBE was carried out for a relaxed structure of Al2CdPb.

Unit cell a=6.193 b=6.193 c=6.193 alpha=149.88 beta=128.65 gamma=60.69
Fractional positions:
Al (0.000, 0.000, 0.000)
Al (0.787, 0.287, 0.500)
Cd (0.240, 0.740, 0.500)
Pb (0.525, 0.525, 0.000)

DOS(E_F)	1.7	states/eV/f.u.

***

2:
A plane-wave DFT calculation with GGA-PBE was carried out for a relaxed structure of Al2CdPb.

Unit cell a=5.094 b=5.094 c=5.094 alpha=60.00 beta=60.00 gamma=60.00
Fractional positions:
Al (0.000, 0.000, 0.000)
Al (0.250, 0.250, 0.250)
Cd (0.750, 0.750, 0.750)
Pb (0.500, 0.500, 0.500)

DOS(E_F)	1.7	states/eV/f.u.

***

3:
A plane-wave DFT calculation with GGA-PBE was carried out for a relaxed structure of Al2CdPb.

Unit cell a=3.203 b=3.203 c=8.785 alpha=90.00 beta=90.00 gamma=90.00
Fractional positions:
Al (0.000, 0.000, 0.000)
Al (0.500, 0.500, 0.188)
Cd (0.000, 0.000, 0.424)
Pb (0.500, 0.500, 0.732)

DOS(E_F)	1.1	states/eV/f.u.

***

4:
A plane-wave DFT calculation with GGA-PBE was carried out for a relaxed structure of Al2CdPb.

Unit cell a=5.091 b=5.091 c=5.091 alpha=60.00 beta=60.00 gamma=60.00
Fractional positions:
Al (0.250, 0.250, 0.250)
Al (0.750, 0.750, 0.750)
Cd (0.000, 0.000, 0.000)
Pb (0.500, 0.500, 0.500)

DOS(E_F)	2.3	states/eV/f.u.

***

3 (8.0 kJ/mol of atoms below the next structure)